# YScTa

A geometry-optimized YScTa structure (GGA-PBE, the Alexandria database).

Cell lengths 5.7992, 5.7992, 5.7992 Å; angles 147.82, 136.19, 55.39 degrees
Closest atoms and distances in Å follow each position.
Sites, in units of the cell vectors:
Y (0.0000, 0.0000, 0.0000)  5 Sc 3.15-3.35, 2 Y 3.21, 5 Ta 3.24-3.34
Sc (0.6935, 0.6935, 0.0000)  4 Ta 3.02, 5 Y 3.15-3.35, 2 Sc 3.21
Ta (0.3257, 0.3257, 0.0000)  4 Sc 3.02, 2 Ta 3.21, 5 Y 3.24-3.34

## Properties
Final energy: -23.7 eV per cell
Crystal system: orthorhombic
Volume: 71.4 Å³/cell
ΔH_f (0 K): 0.3009 eV/atom
Total magnetic moment: 0.00 μB/f.u.